Entry 1:
! TbTm6Sc3, optimized geometry, DFT PBE-GGA; values from VASP
&SYSTEM
  ibrav = 0, nat = 20, ntyp = 3
/
ATOMIC_SPECIES
Sc 44.96 Sc.upf
Tm 168.93 Tm.upf
Tb 158.93 Tb.upf
CELL_PARAMETERS angstrom
-2.508 -0.865 5.466
5.448 -8.980 1.080
3.918 9.247 3.261
ATOMIC_POSITIONS angstrom
Sc 3.313 -2.477 5.286
Sc 0.833 -2.351 2.953
Sc -0.761 1.266 6.170
Sc 4.218 2.112 3.051
Sc 6.687 -2.184 5.666
Sc 5.093 1.432 8.883
Tm 5.926 3.645 5.700
Tm 2.716 3.110 6.232
Tm 4.421 -8.445 3.264
Tm 4.880 0.445 5.840
Tm 1.024 3.505 3.429
Tm 3.117 -0.649 1.482
Tm 6.255 -0.560 2.936
Tm 1.781 7.622 7.971
Tm 1.743 0.355 4.386
Tm 5.301 -4.286 7.536
Tm 0.400 -4.426 5.264
Tm 4.566 -3.561 2.649
Tb 3.384 -5.757 5.334
Tb 3.750 5.254 3.867
! - Offset from the most stable computed form: 0.041 eV/atom
! - Energy relative to the elements: 165 meV per atom

Entry 2:
! K2Ge3PdPt4, optimized geometry, DFT PBE-GGA; values from VASP
&SYSTEM
  ibrav = 0, nat = 10, ntyp = 4
/
ATOMIC_SPECIES
Pt 195.08 Pt.upf
K 39.10 K.upf
Ge 72.64 Ge.upf
Pd 106.42 Pd.upf
CELL_PARAMETERS angstrom
4.386 0.000 0.000
0.000 4.386 0.000
0.000 0.000 10.536
ATOMIC_POSITIONS angstrom
Pt 2.193 2.193 0.000
Pt 0.000 2.193 3.779
Pt 0.000 0.000 0.000
Pt 2.193 0.000 6.756
K 2.193 0.000 2.678
K 0.000 2.193 7.858
Ge 0.000 2.193 1.314
Ge 0.000 0.000 5.268
Ge 2.193 0.000 9.222
Pd 2.193 2.193 5.268
! - Energy relative to the elements: -345 meV per atom

Entry 3:
! LiY3Th4S8, optimized geometry, DFT PBE-GGA; values from VASP
&SYSTEM
  ibrav = 0, nat = 16, ntyp = 4
/
ATOMIC_SPECIES
Th 232.04 Th.upf
S 32.06 S.upf
Y 88.91 Y.upf
Li 6.94 Li.upf
CELL_PARAMETERS angstrom
-4.971 -5.247 2.856
2.533 -5.386 -5.486
5.252 3.321 4.668
ATOMIC_POSITIONS angstrom
Th -2.485 -2.623 1.428
Th 2.626 1.661 2.334
Th 0.141 -0.963 3.762
Th 0.000 0.000 0.000
S -3.046 -5.416 0.735
S 3.172 -3.596 -1.087
S -0.502 -2.730 -0.728
S 5.861 -1.896 1.303
S -0.358 -3.716 3.124
S 3.316 -4.582 2.766
S 0.734 -6.243 0.382
S 2.080 -1.069 1.656
Y 3.892 -1.033 -0.409
Y -1.219 -5.317 -1.315
Y 1.407 -3.656 1.019
Li 1.267 -2.693 -2.743
! - ΔE_f (raw): -1.857 eV per atom

Entry 4:
! CeEr2Rh, optimized geometry, DFT PBE-GGA; values from VASP
&SYSTEM
  ibrav = 0, nat = 16, ntyp = 3
/
ATOMIC_SPECIES
Er 167.26 Er.upf
Rh 102.91 Rh.upf
Ce 140.12 Ce.upf
CELL_PARAMETERS angstrom
-3.585 -4.924 1.830
-1.742 -1.230 -6.722
7.462 -5.760 -0.880
ATOMIC_POSITIONS angstrom
Er 3.160 -9.682 -5.131
Er 0.661 -7.751 -1.137
Er 0.389 -7.543 -4.804
Er -1.026 -2.231 -0.641
Er -1.298 -2.023 -4.308
Er 1.745 -4.371 -0.968
Er 3.432 -9.890 -1.464
Er 1.474 -4.163 -4.635
Rh 1.085 -9.786 -3.131
Rh -1.281 -4.746 -5.258
Rh 3.416 -7.167 -0.514
Rh 1.049 -2.127 -2.642
Ce -1.385 -5.278 -2.660
Ce -1.267 -5.697 1.086
Ce 3.519 -6.636 -3.113
Ce 3.401 -6.216 -6.858
! - Offset from the most stable computed form: 0.000 eV/atom
! - Energy relative to the elements: -482 meV per atom

Entry 5:
! Pa4Ge2Se5, optimized geometry, DFT PBE-GGA; values from VASP
&SYSTEM
  ibrav = 0, nat = 11, ntyp = 3
/
ATOMIC_SPECIES
Se 78.96 Se.upf
Pa 231.04 Pa.upf
Ge 72.64 Ge.upf
CELL_PARAMETERS angstrom
-2.942 2.918 0.073
-4.199 -4.115 -4.766
-0.442 -3.627 9.534
ATOMIC_POSITIONS angstrom
Se -4.519 -4.527 -1.221
Se -5.234 -2.425 3.601
Se -2.349 -2.400 1.240
Se -3.064 -0.298 6.062
Se -1.471 1.459 0.036
Pa -2.306 -2.429 4.129
Pa -5.277 -2.396 0.712
Pa -3.097 -3.036 -3.511
Pa -4.486 -1.789 8.352
Ge -4.072 -1.127 -1.444
Ge -3.511 -3.698 6.285
! - ΔE_f (raw): -0.988 eV per atom

Entry 6:
! CaCd4InPd2, optimized geometry, DFT PBE-GGA; values from VASP
&SYSTEM
  ibrav = 0, nat = 8, ntyp = 4
/
ATOMIC_SPECIES
Pd 106.42 Pd.upf
Cd 112.41 Cd.upf
Ca 40.08 Ca.upf
In 114.82 In.upf
CELL_PARAMETERS angstrom
3.976 0.000 0.000
0.000 3.976 0.000
0.000 0.000 12.218
ATOMIC_POSITIONS angstrom
Pd 1.988 1.988 7.441
Pd 1.988 1.988 4.776
Cd 1.988 0.000 9.458
Cd 1.988 0.000 2.760
Cd 0.000 1.988 2.760
Cd 0.000 1.988 9.458
Ca 0.000 0.000 0.000
In 0.000 0.000 6.109
! - Energy relative to the elements: -101 meV per atom

Entry 7:
! NaLiEuSi, optimized geometry, DFT PBE-GGA; values from VASP
&SYSTEM
  ibrav = 0, nat = 4, ntyp = 4
/
ATOMIC_SPECIES
Eu 151.96 Eu.upf
Si 28.09 Si.upf
Na 22.99 Na.upf
Li 6.94 Li.upf
CELL_PARAMETERS angstrom
-1.050 -3.331 3.656
-1.682 -4.617 -1.193
2.977 -4.030 0.681
ATOMIC_POSITIONS angstrom
Eu 0.122 -5.989 1.572
Si 0.184 -8.983 2.358
Na 0.061 -2.994 0.786
Li 0.000 0.000 0.000
! - ΔE_f (raw): -0.151 eV per atom

Entry 8:
! PmHoSnRh, optimized geometry, DFT PBE-GGA; values from VASP
&SYSTEM
  ibrav = 0, nat = 4, ntyp = 4
/
ATOMIC_SPECIES
Pm 145.00 Pm.upf
Sn 118.71 Sn.upf
Rh 102.91 Rh.upf
Ho 164.93 Ho.upf
CELL_PARAMETERS angstrom
5.158 0.000 0.000
2.579 4.467 0.000
2.579 1.489 4.212
ATOMIC_POSITIONS angstrom
Pm 0.000 0.000 0.000
Sn 7.737 4.467 3.159
Rh 2.579 1.489 1.053
Ho 5.158 2.978 2.106
! - Energy relative to the elements: -615 meV per atom

Entry 9:
! TlFe5, optimized geometry, DFT PBE-GGA; values from VASP
&SYSTEM
  ibrav = 0, nat = 6, ntyp = 2
/
ATOMIC_SPECIES
Fe 55.84 Fe.upf
Tl 204.38 Tl.upf
CELL_PARAMETERS angstrom
-1.703 0.340 -2.460
-2.409 -0.952 1.535
-1.822 8.553 2.445
ATOMIC_POSITIONS angstrom
Fe -1.438 6.750 1.929
Fe -0.911 4.277 1.223
Fe -2.691 2.675 0.390
Fe -0.384 1.804 0.516
Fe -3.243 5.267 1.131
Tl -2.056 -0.306 -0.462
! - Offset from the most stable computed form: 0.000 eV/atom
! - Energy relative to the elements: 259 meV per atom

Entry 10:
! Cd3MoPb, optimized geometry, DFT PBE-GGA; values from VASP
&SYSTEM
  ibrav = 0, nat = 5, ntyp = 3
/
ATOMIC_SPECIES
Cd 112.41 Cd.upf
Mo 95.94 Mo.upf
Pb 207.20 Pb.upf
CELL_PARAMETERS angstrom
-0.746 4.663 2.366
-4.146 -1.984 2.602
3.186 -1.489 3.940
ATOMIC_POSITIONS angstrom
Cd -0.373 2.331 1.183
Cd 1.593 -0.745 1.970
Cd -2.073 -0.992 1.301
Mo 0.000 0.000 0.000
Pb -0.853 0.595 4.454
! - Offset from the most stable computed form: 0.000 eV/atom
! - Energy relative to the elements: 891 meV per atom

Entry 11:
! LiInNiGe, optimized geometry, DFT PBE-GGA; values from VASP
&SYSTEM
  ibrav = 0, nat = 4, ntyp = 4
/
ATOMIC_SPECIES
Ge 72.64 Ge.upf
Li 6.94 Li.upf
In 114.82 In.upf
Ni 58.69 Ni.upf
CELL_PARAMETERS angstrom
-0.180 -1.640 -4.105
-2.810 -3.282 -0.949
-3.536 0.781 -2.541
ATOMIC_POSITIONS angstrom
Ge -1.632 -1.035 -1.899
Li 0.000 0.000 0.000
In -4.895 -3.106 -5.696
Ni -3.263 -2.071 -3.797
! - Energy relative to the elements: -166 meV per atom

Entry 12:
! Pr3Nd4Ga, optimized geometry, DFT PBE-GGA; values from VASP
&SYSTEM
  ibrav = 0, nat = 8, ntyp = 3
/
ATOMIC_SPECIES
Pr 140.91 Pr.upf
Nd 144.24 Nd.upf
Ga 69.72 Ga.upf
CELL_PARAMETERS angstrom
3.696 0.000 0.000
0.000 3.696 0.000
0.000 0.000 19.507
ATOMIC_POSITIONS angstrom
Pr 1.848 1.848 9.754
Pr 1.848 1.848 4.505
Pr 1.848 1.848 15.003
Nd 0.000 0.000 12.390
Nd 0.000 0.000 17.676
Nd 0.000 0.000 7.117
Nd 0.000 0.000 1.831
Ga 1.848 1.848 0.000
! - Energy relative to the elements: -118 meV per atom